(1)
{"formula": "MnTc2As", "functional": "PBE-GGA", "state": "relaxed", "cell": [[5.517, 0.000, 0.000], [0.000, 5.517, 0.000], [2.758, 2.758, 5.111]], "species": ["Tc", "Tc", "Tc", "Tc", "Mn", "Mn", "As", "As"], "frac_coords": [[0.875, 0.849, 0.750], [0.599, 0.125, 0.250], [0.375, 0.401, 0.750], [0.151, 0.625, 0.250], [0.250, 0.750, 0.500], [0.500, 0.500, 0.000], [0.750, 0.250, 0.500], [0.000, 0.000, 0.000]], "e_form_kcal_per_mol_atoms": 18.56, "dos_ef_per_ev_fu": 3.09, "e_tot_ev_per_atom": -7.8329}

=====

(2)
{"formula": "MnTcAs", "functional": "PBE-GGA", "state": "relaxed", "cell": [[-0.318, -1.676, -2.238], [2.504, 0.194, 1.268], [-1.496, -4.603, 3.659]], "species": ["Mn", "As", "Tc"], "frac_coords": [[0.667, 0.333, 0.333], [0.000, 0.000, 0.015], [0.333, 0.667, 0.652]], "relative_energy_mev_per_atom": 242, "e_form_kcal_per_mol_atoms": 3.42, "dos_ef_per_ev_fu": 2.23, "e_tot_ev_per_atom": -7.9133}

=====

(3)
{"formula": "MnTc2As", "functional": "PBE-GGA", "state": "relaxed", "cell": [[-1.875, 1.567, 1.785], [-3.209, -2.634, -1.059], [1.006, -2.549, 3.293]], "species": ["As", "Mn", "Tc", "Tc"], "frac_coords": [[0.500, 0.500, 0.000], [0.500, 0.000, 0.500], [0.000, 0.000, 0.000], [0.000, 0.500, 0.500]], "e_form_kcal_per_mol_atoms": -1.53, "dos_ef_per_ev_fu": 2.88, "e_tot_ev_per_atom": -8.7040}